Record 1
Here is CaTc2Cl after structural relaxation from Alexandria via LeMat-Bulk. Energies are from PBE.

Geometry as extended XYZ:
```
4
Lattice="3.1311 0.0000 0.0000 0.0000 3.1373 -0.0496 0.0000 1.6910 7.7230" Properties=species:S:1:pos:R:3 pbc="T T T"
Ca 0.0000 2.6108 3.8505
Tc 0.0000 2.5551 0.3371
Cl 1.5655 4.2076 5.6548
Tc 1.5655 1.0063 1.6181
```

Results
- space-group type = Amm2 (38)
- spin magnetization (Bohr magnetons per cell) = 0.0



Record 2
Here is CaTc2Cl after structural relaxation from Alexandria via LeMat-Bulk. Energies are from PBE.

Geometry as extended XYZ:
```
4
Lattice="5.3820 -0.0241 -0.0031 1.2302 5.2395 0.0031 -2.3966 -3.7608 3.0132" Properties=species:S:1:pos:R:3 pbc="T T T"
Ca 3.1478 2.4829 0.0000
Cl 0.8735 1.8884 1.5081
Tc 6.5517 5.1677 0.0000
Tc 3.5608 -0.2612 1.5050
```

Results
- space-group type = Imm2 (44)
- spin magnetization (Bohr magnetons per cell) = 0.0



Record 3
Here is CaTc2Cl after structural relaxation from Alexandria via LeMat-Bulk. Energies are from PBE.

Geometry as extended XYZ:
```
4
Lattice="3.5961 -0.0008 -0.0031 -1.7964 6.7309 0.0459 0.0032 0.9426 3.4798" Properties=species:S:1:pos:R:3 pbc="T T T"
Tc 1.7997 0.4709 1.7383
Tc 0.0000 0.0000 0.0000
Cl 0.8998 3.3650 0.0214
Ca -0.8966 3.8368 1.7628
```

Results
- space-group type = Fmmm (69)
- spin magnetization (Bohr magnetons per cell) = 0.0



Record 4
Here is CaTc2Cl after structural relaxation from Alexandria via LeMat-Bulk. Energies are from PBE.

Geometry as extended XYZ:
```
4
Lattice="3.1360 0.0000 0.0000 0.0000 3.1360 0.0000 0.0000 0.0000 8.0933" Properties=species:S:1:pos:R:3 pbc="T T T"
Tc 0.0000 0.0000 0.5226
Ca 0.0000 0.0000 4.0644
Tc 1.5680 1.5680 1.7590
Cl 1.5680 1.5680 5.7939
```

Results
- space-group type = P4mm (99)
- spin magnetization (Bohr magnetons per cell) = 0.0



Record 5
Here is Ca2TcCl after structural relaxation from Alexandria via LeMat-Bulk. Energies are from PBE.

Geometry as extended XYZ:
```
8
Lattice="7.6254 0.0000 0.0000 0.0000 7.6254 0.0000 3.8127 3.8127 3.7806" Properties=species:S:1:pos:R:3 pbc="T T T"
Cl 3.8127 7.6254 1.8903
Ca 5.5728 1.9063 0.9452
Tc 7.6254 3.8127 1.8903
Ca 9.5317 9.3855 2.8355
Tc 0.0000 0.0000 0.0000
Ca 5.7190 5.8653 2.8355
Cl 3.8127 3.8127 0.0000
Ca 2.0526 5.7190 0.9452
```

Results
- space-group type = I-42d (122)
- spin magnetization (Bohr magnetons per cell) = 4.2



Record 6
Here is CaTc2Cl after structural relaxation from Alexandria via LeMat-Bulk. Energies are from PBE.

Geometry as extended XYZ:
```
4
Lattice="5.9686 -0.0020 0.0000 -3.8940 4.5234 0.0000 0.0000 0.0000 2.8314" Properties=species:S:1:pos:R:3 pbc="T T T"
Ca 2.9843 -0.0010 1.4157
Tc 1.0373 2.2607 0.0000
Cl -1.9470 2.2617 1.4157
Tc 0.0000 0.0000 0.0000
```

Results
- space-group type = Cmmm (65)
- spin magnetization (Bohr magnetons per cell) = 0.0



Number 1: formation energy without anion corrections -0.2542 eV/atom. Number 2: formation energy without anion corrections 0.3176 eV/atom. Number 3: formation energy without anion corrections 0.1333 eV/atom. Number 4: formation energy without anion corrections -0.2102 eV/atom. Number 5: formation energy without anion corrections 0.0777 eV/atom. Number 6: formation energy without anion corrections 0.6282 eV/atom.